The following is a DFT calculation (PBE) of a relaxed structure of PmSmSb.

Lattice parameters (Å, degrees): 3.4287 5.8852 18.4620 90.00 90.00 90.00
Space group Immm (No. 71)
One atom of each set of equivalent atoms:
Pm 0.0000 0.2462 0.0000 (multiplicity 4)
Sm 0.0000 0.5000 0.3269 (multiplicity 4)
Sb 0.0000 0.5000 0.1568 (multiplicity 4)

## Properties
V ... 31.0 A^3/atom
Mass density ... 7.44 Mg/m³
Raw formation energy ... -0.42 eV/atom
Energy above the lowest structure with this stoichiometry ... 40.2 kJ/mol of atoms
Spin magnetization ... 0.0 μB/cell

The following is a DFT calculation (PBE) of a relaxed structure of Pm3SmSb2.

Lattice parameters (Å, degrees): 4.5652 4.5652 8.7804 90.00 90.00 90.00
Space group P-4m2 (No. 115)
One atom of each set of equivalent atoms:
Pm 0.0000 0.0000 0.0000 (multiplicity 1)
Pm 0.0000 0.5000 0.6451 (multiplicity 2)
Sm 0.5000 0.5000 0.0000 (multiplicity 1)
Sb 0.0000 0.5000 0.2788 (multiplicity 2)

## Properties
V ... 30.5 A^3/atom
Mass density ... 7.52 Mg/m³
Raw formation energy ... -0.83 eV/atom
Energy above the lowest structure with this stoichiometry ... 0.0 kJ/mol of atoms
Spin magnetization ... 0.0 μB/cell

The following is a DFT calculation (PBE) of a relaxed structure of Pm2SmSb.

Lattice parameters (Å, degrees): 4.1449 4.1449 7.1702 90.00 90.00 90.00
Space group P4/mmm (No. 123)
One atom of each set of equivalent atoms:
Pm 0.0000 0.0000 0.2205 (multiplicity 2)
Sm 0.5000 0.5000 0.5000 (multiplicity 1)
Sb 0.5000 0.5000 0.0000 (multiplicity 1)

## Properties
V ... 30.8 A^3/atom
Mass density ... 7.58 Mg/m³
Raw formation energy ... -0.49 eV/atom
Energy above the lowest structure with this stoichiometry ... 7.5 kJ/mol of atoms
Spin magnetization ... 0.1 μB/cell

The following is a DFT calculation (PBE) of a relaxed structure of PmSmSb.

Lattice parameters (Å, degrees): 4.5290 4.5290 17.5557 90.00 90.00 90.00
Space group I4/mmm (No. 139)
One atom of each set of equivalent atoms:
Pm 0.0000 0.5000 0.0000 (multiplicity 4)
Sm 0.0000 0.0000 0.1786 (multiplicity 4)
Sb 0.0000 0.0000 0.3606 (multiplicity 4)

## Properties
V ... 30.0 A^3/atom
Mass density ... 7.69 Mg/m³
Raw formation energy ... -0.84 eV/atom
Energy above the lowest structure with this stoichiometry ... 0.0 kJ/mol of atoms
Spin magnetization ... 0.0 μB/cell

The following is a DFT calculation (PBE) of a relaxed structure of PmSm8Sb6.

Lattice parameters (Å, degrees): 8.1736 8.1736 25.4161 90.00 90.00 120.00
Space group R-3 (No. 148, hexagonal axes)
One atom of each set of equivalent atoms:
Pm 0.0000 0.0000 0.0000 (multiplicity 3)
Sm 0.0000 0.0000 0.3333 (multiplicity 6)
Sm 0.9998 0.3325 0.8783 (multiplicity 18)
Sb 0.9999 0.3342 0.0677 (multiplicity 18)

## Properties
V ... 32.7 A^3/atom
Mass density ... 7.04 Mg/m³
Raw formation energy ... -0.81 eV/atom
Spin magnetization ... 0.0 μB/cell

The following is a DFT calculation (PBE) of a relaxed structure of PmSmSb.

Lattice parameters (Å, degrees): 5.1280 5.1280 4.1779 90.00 90.00 120.00
Space group P3m1 (No. 156)
One atom of each set of equivalent atoms:
Pm 0.0000 0.0000 0.0000 (multiplicity 1)
Sm 0.3333 0.6667 0.4721 (multiplicity 1)
Sb 0.6667 0.3333 0.6902 (multiplicity 1)

## Properties
V ... 31.7 A^3/atom
Mass density ... 7.28 Mg/m³
Raw formation energy ... -0.45 eV/atom
Energy above the lowest structure with this stoichiometry ... 37.7 kJ/mol of atoms
Spin magnetization ... 0.0 μB/cell

The following is a DFT calculation (PBE) of a relaxed structure of Pm8SmSb6.

Lattice parameters (Å, degrees): 8.1976 8.1976 25.5543 90.00 90.00 120.00
Space group R-3 (No. 148, hexagonal axes)
One atom of each set of equivalent atoms:
Pm 0.0000 0.0000 0.1667 (multiplicity 6)
Pm 0.0004 0.3345 0.3784 (multiplicity 18)
Sm 0.0000 0.0000 0.5000 (multiplicity 3)
Sb 0.0003 0.3324 0.5673 (multiplicity 18)

## Properties
V ... 33.0 A^3/atom
Mass density ... 6.84 Mg/m³
Raw formation energy ... -0.82 eV/atom
Spin magnetization ... 0.0 μB/cell

The following is a DFT calculation (PBE) of a relaxed structure of PmSmSb2.

Lattice parameters (Å, degrees): 4.4444 4.4444 22.8409 90.00 90.00 120.00
Space group R3m (No. 160, hexagonal axes)
One atom of each set of equivalent atoms:
Pm 0.0000 0.0000 0.0000 (multiplicity 3)
Sm 0.0000 0.0000 0.8288 (multiplicity 3)
Sb 0.0000 0.0000 0.4136 (multiplicity 3)
Sb 0.0000 0.0000 0.5817 (multiplicity 3)

## Properties
V ... 32.6 A^3/atom
Mass density ... 6.87 Mg/m³
Raw formation energy ... -1.06 eV/atom
Energy above the lowest structure with this stoichiometry ... 11.5 kJ/mol of atoms
Spin magnetization ... 0.0 μB/cell

The following is a DFT calculation (PBE) of a relaxed structure of Pm2SmSb.

Lattice parameters (Å, degrees): 4.1044 4.1044 29.0319 90.00 90.00 120.00
Space group R3m (No. 160, hexagonal axes)
One atom of each set of equivalent atoms:
Pm 0.0000 0.0000 0.0000 (multiplicity 3)
Pm 0.0000 0.0000 0.1978 (multiplicity 3)
Sm 0.0000 0.0000 0.4324 (multiplicity 3)
Sb 0.0000 0.0000 0.5987 (multiplicity 3)

## Properties
V ... 35.3 A^3/atom
Mass density ... 6.61 Mg/m³
Raw formation energy ... -0.36 eV/atom
Energy above the lowest structure with this stoichiometry ... 19.9 kJ/mol of atoms
Spin magnetization ... 2.6 μB/cell

The following is a DFT calculation (PBE) of a relaxed structure of Pm3Sm2Sb2.

Lattice parameters (Å, degrees): 16.9727 4.0239 7.4004 90.00 115.22 90.00
Space group C2/m (No. 12)
One atom of each set of equivalent atoms:
Pm 0.0000 0.0000 0.0000 (multiplicity 2)
Pm 0.2160 0.0000 0.2572 (multiplicity 4)
Sm 0.1022 0.0000 0.7035 (multiplicity 4)
Sb 0.0891 0.5000 0.3659 (multiplicity 4)

## Properties
V ... 32.7 A^3/atom
Mass density ... 7.11 Mg/m³
Raw formation energy ... -0.45 eV/atom
Spin magnetization ... 1.0 μB/cell

The following is a DFT calculation (PBE) of a relaxed structure of Pm5Sm2Sb4.

Lattice parameters (Å, degrees): 22.6369 4.2137 7.9941 90.00 98.96 90.00
Space group C2/m (No. 12)
One atom of each set of equivalent atoms:
Pm 0.0000 0.0000 0.0000 (multiplicity 2)
Pm 0.0570 0.5000 0.4002 (multiplicity 4)
Pm 0.1837 0.5000 0.0813 (multiplicity 4)
Sm 0.2048 0.5000 0.6383 (multiplicity 4)
Sb 0.0743 0.5000 0.7968 (multiplicity 4)
Sb 0.1508 0.0000 0.3420 (multiplicity 4)

## Properties
V ... 34.2 A^3/atom
Mass density ... 6.67 Mg/m³
Raw formation energy ... -0.58 eV/atom
Spin magnetization ... 0.0 μB/cell

The following is a DFT calculation (PBE) of a relaxed structure of PmSm12Sb6.

Lattice parameters (Å, degrees): 14.1292 14.1292 11.2911 90.00 90.00 120.00
Space group R-3 (No. 148, hexagonal axes)
One atom of each set of equivalent atoms:
Pm 0.0000 0.0000 0.0000 (multiplicity 3)
Sm 0.0239 0.8365 0.3629 (multiplicity 18)
Sm 0.0661 0.8372 0.8993 (multiplicity 18)
Sb 0.0305 0.7665 0.6333 (multiplicity 18)

## Properties
V ... 34.2 A^3/atom
Mass density ... 6.84 Mg/m³
Raw formation energy ... -0.48 eV/atom
Spin magnetization ... 0.0 μB/cell

The following is a DFT calculation (PBE) of a relaxed structure of Pm5SmSb3.

Lattice parameters (Å, degrees): 7.8244 7.8244 18.1772 90.00 90.00 90.00
Space group I4/mcm (No. 140)
One atom of each set of equivalent atoms:
Pm 0.0000 0.0000 0.0000 (multiplicity 4)
Pm 0.1888 0.3112 0.1268 (multiplicity 16)
Sm 0.0000 0.5000 0.2500 (multiplicity 4)
Sb 0.0000 0.0000 0.2500 (multiplicity 4)
Sb 0.1308 0.3692 0.5000 (multiplicity 8)

## Properties
V ... 30.9 A^3/atom
Mass density ... 7.41 Mg/m³
Raw formation energy ... -0.43 eV/atom
Spin magnetization ... 0.0 μB/cell

The following is a DFT calculation (PBE) of a relaxed structure of Pm3SmSb.

Lattice parameters (Å, degrees): 11.0370 4.0405 14.7086 90.00 90.00 90.00
Space group Pnma (No. 62)
One atom of each set of equivalent atoms:
Pm 0.0564 0.2500 0.0857 (multiplicity 4)
Pm 0.0629 0.7500 0.2954 (multiplicity 4)
Pm 0.1915 0.7500 0.7113 (multiplicity 4)
Sm 0.1658 0.2500 0.4992 (multiplicity 4)
Sb 0.1650 0.2500 0.8798 (multiplicity 4)

## Properties
V ... 32.8 A^3/atom
Mass density ... 7.16 Mg/m³
Raw formation energy ... -0.37 eV/atom
Spin magnetization ... 0.0 μB/cell

The following is a DFT calculation (PBE) of a relaxed structure of PmSmSb.

Lattice parameters (Å, degrees): 4.1318 4.1318 10.1645 90.00 90.00 90.00
Space group I4mm (No. 107)
One atom of each set of equivalent atoms:
Pm 0.0000 0.0000 0.0000 (multiplicity 2)
Sm 0.0000 0.0000 0.6925 (multiplicity 2)
Sb 0.0000 0.0000 0.3451 (multiplicity 2)

## Properties
V ... 28.9 A^3/atom
Mass density ... 7.98 Mg/m³
Raw formation energy ... -0.68 eV/atom
Energy above the lowest structure with this stoichiometry ... 15.7 kJ/mol of atoms
Spin magnetization ... 0.0 μB/cell

The following is a DFT calculation (PBE) of a relaxed structure of PmSmSb2.

Lattice parameters (Å, degrees): 5.7995 5.7995 3.3779 90.00 90.00 90.00
Space group P4/mmm (No. 123)
One atom of each set of equivalent atoms:
Pm 0.0000 0.0000 0.0000 (multiplicity 1)
Sm 0.5000 0.5000 0.0000 (multiplicity 1)
Sb 0.0000 0.5000 0.5000 (multiplicity 2)

## Properties
V ... 28.4 A^3/atom
Mass density ... 7.88 Mg/m³
Raw formation energy ... -0.92 eV/atom
Energy above the lowest structure with this stoichiometry ... 25.4 kJ/mol of atoms
Spin magnetization ... 0.0 μB/cell

The following is a DFT calculation (PBE) of a relaxed structure of PmSmSb2.

Lattice parameters (Å, degrees): 4.4835 4.4835 21.9396 90.00 90.00 120.00
Space group R-3m (No. 166, hexagonal axes)
One atom of each set of equivalent atoms:
Pm 0.0000 0.0000 0.0000 (multiplicity 3)
Sm 0.0000 0.0000 0.5000 (multiplicity 3)
Sb 0.0000 0.0000 0.2496 (multiplicity 6)

## Properties
V ... 31.8 A^3/atom
Mass density ... 7.03 Mg/m³
Raw formation energy ... -1.18 eV/atom
Energy above the lowest structure with this stoichiometry ... 0.0 kJ/mol of atoms
Spin magnetization ... 0.0 μB/cell

The following is a DFT calculation (PBE) of a relaxed structure of PmSm3Sb4.

Lattice parameters (Å, degrees): 6.3267 6.3267 6.3267 90.00 90.00 90.00
Space group Pm-3m (No. 221)
One atom of each set of equivalent atoms:
Pm 0.0000 0.0000 0.0000 (multiplicity 1)
Sm 0.0000 0.5000 0.5000 (multiplicity 3)
Sb 0.0000 0.0000 0.5000 (multiplicity 3)
Sb 0.5000 0.5000 0.5000 (multiplicity 1)

## Properties
V ... 31.7 A^3/atom
Mass density ... 7.10 Mg/m³
Raw formation energy ... -1.19 eV/atom
Energy above the lowest structure with this stoichiometry ... 0.0 kJ/mol of atoms
Spin magnetization ... 0.0 μB/cell

The following is a DFT calculation (PBE) of a relaxed structure of Pm3SmSb2.

Lattice parameters (Å, degrees): 18.6303 4.4251 10.0172 90.00 115.93 90.00
Space group C2/m (No. 12)
One atom of each set of equivalent atoms:
Pm 0.0544 0.0000 0.1765 (multiplicity 4)
Pm 0.1483 0.5000 0.9730 (multiplicity 4)
Pm 0.1881 0.5000 0.3915 (multiplicity 4)
Sm 0.1110 0.0000 0.6193 (multiplicity 4)
Sb 0.0083 0.5000 0.3479 (multiplicity 4)
Sb 0.2479 0.0000 0.2221 (multiplicity 4)

## Properties
V ... 30.9 A^3/atom
Mass density ... 7.41 Mg/m³
Raw formation energy ... -0.73 eV/atom
Energy above the lowest structure with this stoichiometry ... 9.7 kJ/mol of atoms
Spin magnetization ... 0.6 μB/cell

The following is a DFT calculation (PBE) of a relaxed structure of PmSmSb2.

Lattice parameters (Å, degrees): 7.7392 7.7392 7.7392 90.00 90.00 90.00
Space group Fm-3m (No. 225)
One atom of each set of equivalent atoms:
Pm 0.0000 0.0000 0.0000 (multiplicity 4)
Sm 0.0000 0.0000 0.5000 (multiplicity 4)
Sb 0.2500 0.2500 0.2500 (multiplicity 8)

## Properties
V ... 29.0 A^3/atom
Mass density ... 7.72 Mg/m³
Raw formation energy ... -0.87 eV/atom
Energy above the lowest structure with this stoichiometry ... 30.6 kJ/mol of atoms
Spin magnetization ... 0.0 μB/cell

The following is a DFT calculation (PBE) of a relaxed structure of PmSmSb2.

Lattice parameters (Å, degrees): 4.4721 4.4721 14.7400 90.00 90.00 120.00
Space group P6_3/mmc (No. 194)
One atom of each set of equivalent atoms:
Pm 0.3333 0.6667 0.2500 (multiplicity 2)
Sm 0.0000 0.0000 0.0000 (multiplicity 2)
Sb 0.3333 0.6667 0.6223 (multiplicity 4)

## Properties
V ... 31.9 A^3/atom
Mass density ... 7.01 Mg/m³
Raw formation energy ... -1.12 eV/atom
Energy above the lowest structure with this stoichiometry ... 5.6 kJ/mol of atoms
Spin magnetization ... 0.0 μB/cell

The following is a DFT calculation (PBE) of a relaxed structure of Pm2SmSb.

Lattice parameters (Å, degrees): 4.0019 4.0019 32.4522 90.00 90.00 120.00
Space group R-3m (No. 166, hexagonal axes)
One atom of each set of equivalent atoms:
Pm 0.0000 0.0000 0.1055 (multiplicity 6)
Sm 0.0000 0.0000 0.0000 (multiplicity 3)
Sb 0.0000 0.0000 0.5000 (multiplicity 3)

## Properties
V ... 37.5 A^3/atom
Mass density ... 6.22 Mg/m³
Raw formation energy ... -0.10 eV/atom
Energy above the lowest structure with this stoichiometry ... 44.8 kJ/mol of atoms
Spin magnetization ... 3.5 μB/cell

The following is a DFT calculation (PBE) of a relaxed structure of PmSm3Sb4.

Lattice parameters (Å, degrees): 8.9526 12.6608 4.4783 90.00 90.00 90.00
Space group Cmmm (No. 65)
One atom of each set of equivalent atoms:
Pm 0.0000 0.0000 0.0000 (multiplicity 2)
Sm 0.0000 0.5000 0.0000 (multiplicity 2)
Sm 0.2500 0.2500 0.5000 (multiplicity 4)
Sb 0.0000 0.2505 0.0000 (multiplicity 4)
Sb 0.2491 0.5000 0.5000 (multiplicity 4)

## Properties
V ... 31.7 A^3/atom
Mass density ... 7.09 Mg/m³
Raw formation energy ... -1.18 eV/atom
Energy above the lowest structure with this stoichiometry ... 0.5 kJ/mol of atoms
Spin magnetization ... 0.0 μB/cell

The following is a DFT calculation (PBE) of a relaxed structure of Pm3Sm4Sb4.

Lattice parameters (Å, degrees): 11.5538 4.4003 13.7244 90.00 90.00 90.00
Space group Amm2 (No. 38)
One atom of each set of equivalent atoms:
Pm 0.0000 0.0000 0.0000 (multiplicity 2)
Pm 0.3515 0.0000 0.0671 (multiplicity 4)
Sm 0.0000 0.0000 0.2997 (multiplicity 2)
Sm 0.2442 0.0000 0.7667 (multiplicity 4)
Sm 0.5000 0.0000 0.3607 (multiplicity 2)
Sb 0.0000 0.0000 0.6535 (multiplicity 2)
Sb 0.2200 0.0000 0.4363 (multiplicity 4)
Sb 0.5000 0.0000 0.6870 (multiplicity 2)

## Properties
V ... 31.7 A^3/atom
Mass density ... 7.25 Mg/m³
Raw formation energy ... -0.74 eV/atom
Spin magnetization ... 0.0 μB/cell